# 1
VASP calculation (PBE-GGA) on an optimized crystal structure of Nd4Y5Tm.

```
Nd4Y5Tm
1.0
0.027 -3.523 -0.483
10.614 -0.407 3.569
-2.761 0.617 8.393
Nd Y Tm
4 5 1
Direct
0.654 0.250 0.309 Nd
0.970 0.248 0.941 Nd
0.346 0.750 0.691 Nd
0.030 0.752 0.059 Nd
0.174 0.557 0.349 Y
0.173 0.946 0.346 Y
0.827 0.054 0.654 Y
0.500 0.500 0.000 Y
0.826 0.443 0.651 Y
0.500 0.000 0.000 Tm
```

Properties
total magnetization	0.0	μB per formula unit
uncorrected energy	-5.40	eV per atom
space group	C2/m (12)

=====

# 2
VASP calculation (PBE-GGA) on an optimized crystal structure of Zn2Te.

```
Zn2Te
1.0
4.814 0.000 0.000
2.407 4.169 0.000
2.407 1.390 3.931
Te Zn
1 2
Direct
0.000 0.000 0.000 Te
0.750 0.750 0.750 Zn
0.250 0.250 0.250 Zn
```

Properties
total magnetization	0.0	μB per formula unit
uncorrected energy	-1.74	eV per atom
space group	Fm-3m (225)

=====

# 3
VASP calculation (PBE-GGA) on an optimized crystal structure of Pr2CdAs.

```
Pr2CdAs
1.0
-0.140 3.878 -0.405
-3.621 0.021 1.452
2.633 0.780 6.554
Pr As Cd
2 1 1
Direct
0.000 0.000 0.769 Pr
0.000 0.000 0.231 Pr
0.500 0.500 0.000 As
0.500 0.500 0.500 Cd
```

Properties
total magnetization	0.0	μB per formula unit
uncorrected energy	-4.52	eV per atom
space group	P4/mmm (123)

=====

# 4
VASP calculation (PBE-GGA) on an optimized crystal structure of Na3PuCd2S6.

```
Na3PuCd2S6
1.0
-3.327 1.741 -5.603
3.129 -5.966 0.352
-5.520 -1.376 4.203
Na Pu Cd S
3 1 2 6
Direct
0.170 0.830 0.500 Na
0.830 0.170 0.500 Na
0.500 0.500 0.500 Na
0.000 0.000 0.000 Pu
0.333 0.667 0.000 Cd
0.667 0.333 0.000 Cd
0.924 0.602 0.772 S
0.754 0.754 0.226 S
0.076 0.398 0.228 S
0.602 0.924 0.772 S
0.246 0.246 0.774 S
0.398 0.076 0.228 S
```

Properties
total magnetization	3.0	μB per formula unit
uncorrected energy	-4.72	eV per atom
space group	C2/m (12)

=====

# 5
VASP calculation (PBE-GGA) on an optimized crystal structure of TaZnBr2.

```
TaZnBr2
1.0
-6.714 -1.657 -4.132
-6.590 -4.106 -2.146
-3.669 1.816 2.467
Br Ta Zn
2 1 1
Direct
0.108 0.108 0.892 Br
0.392 0.392 0.608 Br
0.750 0.750 0.750 Ta
0.250 0.250 0.250 Zn
```

Properties
total magnetization	0.4	μB per formula unit
uncorrected energy	-4.25	eV per atom
space group	Immm (71)

=====

# 6
VASP calculation (PBE-GGA) on an optimized crystal structure of NdAl2SiNi2.

```
NdAl2SiNi2
1.0
-3.667 -1.937 1.124
-0.813 -0.858 -4.131
2.741 -4.909 0.480
Nd Al Si Ni
1 2 1 2
Direct
0.000 0.000 0.500 Nd
0.500 0.500 0.746 Al
0.500 0.500 0.254 Al
0.000 0.000 0.000 Si
0.500 0.000 0.000 Ni
0.000 0.500 0.000 Ni
```

Properties
total magnetization	0.0	μB per formula unit
uncorrected energy	-5.33	eV per atom
space group	P4/mmm (123)

=====

# 7
VASP calculation (PBE-GGA) on an optimized crystal structure of Cd2AgBr.

```
Cd2AgBr
1.0
-5.704 -6.467 -0.711
-2.509 -8.189 -1.229
-3.698 -7.515 2.173
Br Ag Cd
1 1 2
Direct
0.750 0.750 0.750 Br
0.250 0.250 0.250 Ag
0.996 0.996 0.996 Cd
0.504 0.504 0.504 Cd
```

Properties
total magnetization	0.0	μB per formula unit
uncorrected energy	-1.75	eV per atom
space group	R-3m (166)

=====

# 8
VASP calculation (PBE-GGA) on an optimized crystal structure of Eu2Cu5Ni5.

```
Eu2Cu5Ni5
1.0
-2.880 -0.638 -2.678
-2.436 -2.939 3.320
-4.360 7.020 3.015
Eu Cu Ni
2 5 5
Direct
0.000 0.500 0.000 Eu
0.000 0.000 0.500 Eu
0.000 0.500 0.333 Cu
0.000 0.000 0.828 Cu
0.000 0.000 0.172 Cu
0.000 0.500 0.667 Cu
0.500 0.000 0.000 Cu
0.500 0.500 0.500 Ni
0.500 0.751 0.253 Ni
0.500 0.249 0.747 Ni
0.500 0.249 0.253 Ni
0.500 0.751 0.747 Ni
```

Properties
total magnetization	0.1	μB per formula unit
uncorrected energy	-5.97	eV per atom
space group	Pmmm (47)

=====

# 9
VASP calculation (PBE-GGA) on an optimized crystal structure of CsNaCdHg2.

```
CsNaCdHg2
1.0
-1.914 -1.320 -5.460
5.533 -1.440 -1.591
-0.975 -5.626 1.702
Cs Na Hg Cd
1 1 2 1
Direct
0.500 0.500 0.500 Cs
0.000 0.000 0.000 Na
0.000 0.500 0.000 Hg
0.500 0.000 0.000 Hg
0.000 0.000 0.500 Cd
```

Properties
total magnetization	0.0	μB per formula unit
uncorrected energy	-0.78	eV per atom
space group	P4/mmm (123)

=====

# 10
VASP calculation (PBE-GGA) on an optimized crystal structure of NpPa3As4.

```
NpPa3As4
1.0
5.794 0.000 0.000
0.000 5.794 0.000
0.000 0.000 5.794
Np As Pa
1 4 3
Direct
0.000 0.000 0.000 Np
0.500 0.000 0.000 As
0.000 0.500 0.000 As
0.000 0.000 0.500 As
0.500 0.500 0.500 As
0.000 0.500 0.500 Pa
0.500 0.000 0.500 Pa
0.500 0.500 0.000 Pa
```

Properties
total magnetization	3.3	μB per formula unit
uncorrected energy	-8.47	eV per atom
space group	Pm-3m (221)

=====

# 11
VASP calculation (PBE-GGA) on an optimized crystal structure of Cr3Ir2Rh.

```
Cr3Ir2Rh
1.0
3.668 -0.026 -0.983
-2.544 6.191 -2.311
-0.070 0.032 7.081
Cr Ir Rh
6 4 2
Direct
0.501 0.836 0.665 Cr
0.001 0.665 0.836 Cr
0.500 0.500 0.000 Cr
0.499 0.164 0.335 Cr
0.000 0.000 0.500 Cr
0.999 0.335 0.164 Cr
0.250 0.084 0.916 Ir
0.250 0.749 0.251 Ir
0.750 0.916 0.084 Ir
0.750 0.251 0.749 Ir
0.250 0.417 0.583 Rh
0.750 0.583 0.417 Rh
```

Properties
total magnetization	1.0	μB per formula unit
uncorrected energy	-9.14	eV per atom
space group	Imma (74)

=====

# 12
VASP calculation (PBE-GGA) on an optimized crystal structure of YGaSi.

```
YGaSi
1.0
3.882 0.000 1.604
1.708 5.319 1.365
-0.103 0.111 5.749
Y Ga Si
2 2 2
Direct
0.500 0.500 0.000 Y
0.000 0.000 0.500 Y
0.750 0.916 0.084 Ga
0.250 0.084 0.916 Ga
0.250 0.422 0.578 Si
0.750 0.578 0.422 Si
```

Properties
total magnetization	0.0	μB per formula unit
uncorrected energy	-5.60	eV per atom
space group	Imma (74)

=====

# 13
VASP calculation (PBE-GGA) on an optimized crystal structure of LaSbI2O.

```
LaSbI2O
1.0
6.293 0.000 0.000
0.000 6.293 0.000
0.000 0.000 4.104
I Sb O La
2 1 1 1
Direct
0.000 0.500 0.000 I
0.500 0.000 0.000 I
0.000 0.000 0.000 Sb
0.000 0.000 0.500 O
0.500 0.500 0.500 La
```

Properties
total magnetization	0.4	μB per formula unit
uncorrected energy	-3.98	eV per atom
space group	P4/mmm (123)

=====

# 14
VASP calculation (PBE-GGA) on an optimized crystal structure of Li2TlSb.

```
Li2TlSb
1.0
9.632 -0.057 -0.034
9.039 3.329 -0.034
9.039 1.584 2.928
Li Sb Tl
2 1 1
Direct
0.000 0.000 0.000 Li
0.247 0.247 0.247 Li
0.507 0.507 0.507 Sb
0.745 0.745 0.745 Tl
```

Properties
total magnetization	0.0	μB per formula unit
uncorrected energy	-2.66	eV per atom
space group	R3m (160)

=====

# 15
VASP calculation (PBE-GGA) on an optimized crystal structure of NaCeSe2O8.

```
NaCeSe2O8
1.0
5.213 0.000 0.000
0.000 5.213 0.000
-2.607 -2.607 5.902
Na Ce Se O
1 1 2 8
Direct
0.000 0.000 0.000 Na
0.750 0.250 0.500 Ce
0.500 0.500 0.000 Se
0.250 0.750 0.500 Se
0.702 0.818 0.159 O
0.456 0.341 0.159 O
0.565 0.694 0.649 O
0.084 0.956 0.649 O
0.044 0.435 0.351 O
0.306 0.916 0.351 O
0.182 0.544 0.841 O
0.659 0.298 0.841 O
```

Properties
total magnetization	1.0	μB per formula unit
uncorrected energy	-5.95	eV per atom
space group	I-4 (82)

=====

# 16
VASP calculation (PBE-GGA) on an optimized crystal structure of TbTm3Te4.

```
TbTm3Te4
1.0
4.244 -0.051 0.074
0.058 7.237 2.054
-0.120 0.363 7.513
Te Tm Tb
4 3 1
Direct
0.000 0.754 0.746 Te
0.500 0.752 0.252 Te
0.000 0.246 0.254 Te
0.500 0.248 0.748 Te
0.500 0.000 0.500 Tm
0.000 0.000 0.000 Tm
0.000 0.500 0.500 Tm
0.500 0.500 0.000 Tb
```

Properties
total magnetization	0.0	μB per formula unit
uncorrected energy	-5.03	eV per atom
space group	Cmmm (65)

=====

# 17
VASP calculation (PBE-GGA) on an optimized crystal structure of P2RuNO.

```
P2RuNO
1.0
-0.860 -2.757 2.576
-1.608 -1.210 -1.832
4.584 -1.958 -2.730
P Ru N O
2 1 1 1
Direct
0.671 0.500 0.534 P
0.170 0.000 0.027 P
0.126 0.000 0.405 Ru
0.871 0.000 0.743 N
0.388 0.500 0.967 O
```

Properties
total magnetization	0.0	μB per formula unit
uncorrected energy	-7.10	eV per atom
space group	Pm (6)

=====

# 18
VASP calculation (PBE-GGA) on an optimized crystal structure of HoMg11Al.

```
HoMg11Al
1.0
-3.361 0.354 -4.760
3.234 -3.525 -5.992
-4.946 -5.961 -0.530
Ho Mg Al
1 11 1
Direct
0.000 0.000 0.000 Ho
0.292 0.213 0.208 Mg
0.708 0.787 0.792 Mg
0.499 0.787 0.208 Mg
0.501 0.213 0.792 Mg
0.352 0.646 0.654 Mg
0.648 0.354 0.346 Mg
0.995 0.354 0.654 Mg
0.005 0.646 0.346 Mg
0.000 0.500 0.000 Mg
0.500 0.000 0.500 Mg
0.000 0.000 0.500 Mg
0.500 0.500 0.000 Al
```

Properties
total magnetization	0.0	μB per formula unit
uncorrected energy	-2.01	eV per atom
space group	C2/m (12)

=====

# 19
VASP calculation (PBE-GGA) on an optimized crystal structure of Pm6ClO8.

```
Pm6ClO8
1.0
-2.985 -1.784 5.794
-6.120 -2.863 -0.094
-0.410 -7.150 1.528
Pm Cl O
6 1 8
Direct
0.444 0.098 0.733 Pm
0.902 0.275 0.267 Pm
0.275 0.556 0.267 Pm
0.725 0.444 0.733 Pm
0.098 0.725 0.733 Pm
0.556 0.902 0.267 Pm
0.000 0.000 0.000 Cl
0.567 0.193 0.353 O
0.807 0.112 0.647 O
0.112 0.433 0.647 O
0.665 0.665 0.004 O
0.335 0.335 0.996 O
0.888 0.567 0.353 O
0.193 0.888 0.353 O
0.433 0.807 0.647 O
```

Properties
total magnetization	0.9	μB per formula unit
uncorrected energy	-7.84	eV per atom
space group	R-3 (148)

=====

# 20
VASP calculation (PBE-GGA) on an optimized crystal structure of NaCd4Hg8.

```
NaCd4Hg8
1.0
-3.776 0.975 3.413
-3.531 -3.832 1.122
4.959 -6.905 11.393
Na Cd Hg
1 4 8
Direct
0.516 0.002 0.967 Na
0.373 0.831 0.422 Cd
0.880 0.424 0.817 Cd
0.151 0.580 0.117 Cd
0.659 0.171 0.512 Cd
0.073 0.502 0.352 Hg
0.462 0.881 0.195 Hg
0.569 0.123 0.739 Hg
0.958 0.502 0.582 Hg
0.764 0.187 0.286 Hg
0.197 0.725 0.882 Hg
0.268 0.817 0.648 Hg
0.835 0.279 0.052 Hg
```

Properties
total magnetization	0.0	μB per formula unit
uncorrected energy	-0.60	eV per atom
space group	C2/m (12)